# Li2Mg2Hg3 | OQMD via LeMat-Bulk | PBE | relaxed
data_Li2Mg2Hg3
_chemical_formula_sum 'Li6 Mg6 Hg9'
_cell_length_a 4.7457
_cell_length_b 4.7457
_cell_length_c 22.8686
_cell_angle_alpha 90.00
_cell_angle_beta 90.00
_cell_angle_gamma 120.00
_space_group_name_H-M_alt 'R 3 m'
_space_group_IT_number 160
_space_group_name_Hall 'R 3 -2"'
loop_
_atom_site_label
_atom_site_type_symbol
_atom_site_fract_x
_atom_site_fract_y
_atom_site_fract_z
_atom_site_occupancy
Li1 Li 0.0000 0.0000 0.0000 1
Li2 Li 0.0000 0.0000 0.4950 1
Mg1 Mg 0.0000 0.0000 0.2412 1
Mg2 Mg 0.0000 0.0000 0.7496 1
Hg1 Hg 0.0000 0.0000 0.3734 1
Hg2 Hg 0.0000 0.0000 0.6213 1
Hg3 Hg 0.0000 0.0000 0.8712 1
# - E_tot (eV/atom) = -1.36